Li4CrFe3O8, optimized geometry, DFT PBE with a Hubbard U; space group = P-1, No. 2; uncorrected energy = -0.4453 Ry/atom; V = 286.24 Å³/cell
1.0
-3.331 -3.873 0.250
0.512 -3.303 6.979
-5.632 3.977 3.516
Li Cr Fe O
8 2 6 16
Direct
0.000 0.000 0.000
0.001 0.749 0.751
0.997 0.873 0.380
0.996 0.374 0.879
0.000 0.500 0.500
0.004 0.626 0.121
0.003 0.127 0.620
0.999 0.251 0.249
0.500 0.439 0.688
0.500 0.561 0.312
0.500 0.686 0.937
0.500 0.813 0.563
0.500 0.938 0.189
0.500 0.062 0.811
0.500 0.187 0.437
0.500 0.314 0.063
0.729 0.843 0.969
0.277 0.895 0.780
0.724 0.974 0.589
0.280 0.525 0.908
0.720 0.604 0.721
0.727 0.722 0.350
0.277 0.654 0.531
0.727 0.226 0.848
0.723 0.346 0.469
0.273 0.774 0.152
0.273 0.278 0.650
0.720 0.475 0.092
0.280 0.396 0.279
0.723 0.105 0.220
0.276 0.026 0.411
0.271 0.157 0.031